Record 1
Here is PmHoCoPt after structural relaxation from Alexandria. Energies are from GGA-PBE.

The structure in CIF format:
```
data_PmHoCoPt
_chemical_formula_sum 'Pm4 Ho4 Co4 Pt4'
_cell_length_a 6.936
_cell_length_b 6.936
_cell_length_c 6.936
_cell_angle_alpha 90.00
_cell_angle_beta 90.00
_cell_angle_gamma 90.00
_space_group_name_H-M_alt 'F -4 3 m'
_space_group_IT_number 216
_space_group_name_Hall 'F -4 2 3'
loop_
_atom_site_label
_atom_site_type_symbol
_atom_site_fract_x
_atom_site_fract_y
_atom_site_fract_z
Pm1 Pm 0.000 0.000 0.000
Ho1 Ho 0.000 0.000 0.500
Co1 Co 0.250 0.250 0.750
Pt1 Pt 0.250 0.250 0.250
```

Computed properties:
crystal system = cubic
raw total energy = -99.29 eV for the cell shown

---

Record 2
Here is PmHoCoRh after structural relaxation from Alexandria. Energies are from GGA-PBE.

The structure in CIF format:
```
data_PmHoCoRh
_chemical_formula_sum 'Pm4 Ho4 Co4 Rh4'
_cell_length_a 6.861
_cell_length_b 6.861
_cell_length_c 6.861
_cell_angle_alpha 90.00
_cell_angle_beta 90.00
_cell_angle_gamma 90.00
_space_group_name_H-M_alt 'F -4 3 m'
_space_group_IT_number 216
_space_group_name_Hall 'F -4 2 3'
loop_
_atom_site_label
_atom_site_type_symbol
_atom_site_fract_x
_atom_site_fract_y
_atom_site_fract_z
Pm1 Pm 0.000 0.000 0.000
Ho1 Ho 0.000 0.000 0.500
Co1 Co 0.250 0.250 0.250
Rh1 Rh 0.250 0.250 0.750
```

Computed properties:
crystal system = cubic
raw total energy = -101.80 eV for the cell shown

---

Record 3
Here is PmHoCoRu after structural relaxation from Alexandria. Energies are from GGA-PBE.

The structure in CIF format:
```
data_PmHoCoRu
_chemical_formula_sum 'Pm4 Ho4 Co4 Ru4'
_cell_length_a 6.821
_cell_length_b 6.821
_cell_length_c 6.821
_cell_angle_alpha 90.00
_cell_angle_beta 90.00
_cell_angle_gamma 90.00
_space_group_name_H-M_alt 'F -4 3 m'
_space_group_IT_number 216
_space_group_name_Hall 'F -4 2 3'
loop_
_atom_site_label
_atom_site_type_symbol
_atom_site_fract_x
_atom_site_fract_y
_atom_site_fract_z
Pm1 Pm 0.000 0.000 0.000
Ho1 Ho 0.000 0.000 0.500
Co1 Co 0.250 0.250 0.250
Ru1 Ru 0.250 0.250 0.750
```

Computed properties:
crystal system = cubic
raw total energy = -105.22 eV for the cell shown

---

Q: What is the raw total energy in the first record?
A: -99.29 eV for the cell shown

---

Q: Which of these has the highest raw total energy?
A: PmHoCoPt